This record from the Alexandria database describes a geometry-optimized La2ThCd structure. The functional is GGA-PBE.

abc: 3.646 3.646 34.055
angles: 90.00 90.00 120.00
Fractional coordinates of all 12 atoms:
La  0.000  0.000  0.000
La  0.000  0.000  0.174
La  0.333  0.667  0.667
La  0.333  0.667  0.840
La  0.667  0.333  0.333
La  0.667  0.333  0.507
Th  0.000  0.000  0.754
Th  0.333  0.667  0.420
Th  0.667  0.333  0.087
Cd  0.000  0.000  0.587
Cd  0.333  0.667  0.253
Cd  0.667  0.333  0.920

Computed properties:
excess energy over the best structure of this formula in the dataset = 142 meV per atom
space-group type = R3m (160)
theoretical density = 7.91 g/cm3
total moment = 0.000 μB/atom
E_form = -0.029 eV/atom
final energy = -4.576 eV per atom